(1)
The following is a PBEsol calculation of an optimized crystal structure of Sb3Pt, from Alexandria. Values from VASP.

Properties
**Space-group type**: Immm, No. 71
**E_form (uncorrected)**: -0.2 eV/f.u.
**Spin magnetization**: 0.000 μB per formula unit
**Polymorph energy (0 for the lowest one)**: 0.000 eV per atom

Geometry as Quantum ESPRESSO input:
```
&SYSTEM
  ibrav = 0, nat = 4, ntyp = 2
/
ATOMIC_SPECIES
Pt 195.08 Pt.upf
Sb 121.76 Sb.upf
CELL_PARAMETERS angstrom
-0.7452 -3.1562 -1.4793
4.4608 -1.1332 0.1706
-2.6415 -0.1452 5.9350
ATOMIC_POSITIONS crystal
Pt 0.0000 0.5000 0.0000
Sb 0.3169 0.3169 0.6338
Sb 0.6831 0.6831 0.3662
Sb 0.5000 0.0000 0.0000
```


(2)
The following is a PBEsol calculation of an optimized crystal structure of RbTlCl2, from Alexandria. Values from VASP.

Properties
**Space-group type**: I-42d, No. 122
**E_form (uncorrected)**: -5.3 eV/f.u.
**Spin magnetization**: 0.000 μB per formula unit
**Polymorph energy (0 for the lowest one)**: 0.079 eV per atom

Geometry as Quantum ESPRESSO input:
```
&SYSTEM
  ibrav = 0, nat = 8, ntyp = 3
/
ATOMIC_SPECIES
Tl 204.38 Tl.upf
Rb 85.47 Rb.upf
Cl 35.45 Cl.upf
CELL_PARAMETERS angstrom
-1.8947 -6.4372 2.3418
6.8459 -1.6960 0.8770
-2.7132 6.5782 5.1024
ATOMIC_POSITIONS crystal
Tl 0.2500 0.7500 0.5000
Tl 0.0000 0.0000 0.0000
Rb 0.7500 0.2500 0.5000
Rb 0.5000 0.5000 0.0000
Cl 0.8902 0.3750 0.2500
Cl 0.3598 0.8750 0.2500
Cl 0.6250 0.6402 0.7500
Cl 0.1250 0.1098 0.7500
```


(3)
The following is a PBEsol calculation of an optimized crystal structure of CdBSb2, from Alexandria. Values from VASP.

Properties
**Space-group type**: Fm-3m, No. 225
**E_form (uncorrected)**: 3.9 eV/f.u.
**Spin magnetization**: 0.000 μB per formula unit

Geometry as Quantum ESPRESSO input:
```
&SYSTEM
  ibrav = 0, nat = 4, ntyp = 3
/
ATOMIC_SPECIES
Sb 121.76 Sb.upf
B 10.81 B.upf
Cd 112.41 Cd.upf
CELL_PARAMETERS angstrom
-4.0806 -2.6521 -0.4535
-2.1359 -1.8959 3.9666
-4.2672 1.7929 1.5707
ATOMIC_POSITIONS crystal
Sb 0.2500 0.2500 0.2500
Sb 0.7500 0.7500 0.7500
B 0.0000 0.0000 0.0000
Cd 0.5000 0.5000 0.5000
```


(4)
The following is a PBEsol calculation of an optimized crystal structure of Rb2BSb2, from Alexandria. Values from VASP.

Properties
**Space-group type**: I4/mmm, No. 139
**E_form (uncorrected)**: 3.7 eV/f.u.
**Spin magnetization**: 2.190 μB per formula unit

Geometry as Quantum ESPRESSO input:
```
&SYSTEM
  ibrav = 0, nat = 5, ntyp = 3
/
ATOMIC_SPECIES
Sb 121.76 Sb.upf
B 10.81 B.upf
Rb 85.47 Rb.upf
CELL_PARAMETERS angstrom
4.1818 0.0000 0.0000
0.0000 4.1818 0.0000
-2.0909 -2.0909 10.3218
ATOMIC_POSITIONS crystal
Sb 0.2500 0.7500 0.5000
Sb 0.7500 0.2500 0.5000
B 0.0000 0.0000 0.0000
Rb 0.4065 0.4065 0.8130
Rb 0.5935 0.5935 0.1870
```


Q: The highest E_form (uncorrected) belongs to which entry?
A: CdBSb2


Q: What is the spin magnetization in the third record?
A: 0.000 μB per formula unit